Computed, not measured: an optimized crystal structure of Re2IrCl at the GGA-PBE level of DFT.

a b c (Å): 2.803 4.897 9.240
angles (deg): 90.00 90.00 90.00
Space group Cmm2 (No. 35)
One atom of each set of equivalent atoms:
Re: 0.000 0.000 0.000
Re: 0.000 0.500 0.247
Ir: 0.000 0.000 0.486
Cl: 0.000 0.500 0.772

Computed properties:
Offset from the most stable computed form, eV/f.u.: 0.86
E_form (uncorrected), meV/atom: 623
Magnetization, μB/atom: 0.000
Total DFT energy (no corrections), eV for the cell shown: -66.2